Record 1
# TlHg2H3 PBE relaxed
# Space group: Cmcm
# Volume (Å³ per atom): 17.6
# Uncorrected energy (eV/atom): -1.716
# Magnetic moment (μB per formula unit): 0.00
data_TlHg2H3
_symmetry_space_group_name_H-M 'P 1'
_symmetry_Int_Tables_number 1
_symmetry_space_group_name_Hall 'P 1'
_cell_length_a 7.3718
_cell_length_b 7.3718
_cell_length_c 7.6549
_cell_angle_alpha 90.00
_cell_angle_beta 90.00
_cell_angle_gamma 30.53
loop_
_atom_site_label
_atom_site_type_symbol
_atom_site_fract_x
_atom_site_fract_y
_atom_site_fract_z
_atom_site_occupancy
Tl1 Tl 0.0027 0.9973 0.7500 1
Tl2 Tl 0.9973 0.0027 0.2500 1
Hg1 Hg 0.3331 0.3331 0.0000 1
Hg2 Hg 0.3331 0.3331 0.5000 1
Hg3 Hg 0.6669 0.6669 0.0000 1
Hg4 Hg 0.6669 0.6669 0.5000 1
H1 H 0.3279 0.3397 0.7500 1
H2 H 0.3397 0.3279 0.2500 1
H3 H 0.4974 0.5026 0.2500 1
H4 H 0.5026 0.4974 0.7500 1
H5 H 0.6603 0.6721 0.7500 1
H6 H 0.6721 0.6603 0.2500 1

=====

Record 2
# TlHg7H12 PBE relaxed
# Space group: P-1
# Volume (Å³ per atom): 21.5
# Uncorrected energy (eV/atom): -2.217
# Magnetic moment (μB per formula unit): 0.00
data_TlHg7H12
_symmetry_space_group_name_H-M 'P 1'
_symmetry_Int_Tables_number 1
_symmetry_space_group_name_Hall 'P 1'
_cell_length_a 6.8143
_cell_length_b 8.8384
_cell_length_c 8.8874
_cell_angle_alpha 111.86
_cell_angle_beta 98.77
_cell_angle_gamma 112.61
loop_
_atom_site_label
_atom_site_type_symbol
_atom_site_fract_x
_atom_site_fract_y
_atom_site_fract_z
_atom_site_occupancy
Tl1 Tl 0.0000 0.0000 0.0000 1
Hg1 Hg 0.1447 0.1415 0.4323 1
Hg2 Hg 0.3054 0.2831 0.8587 1
Hg3 Hg 0.4322 0.4296 0.2888 1
Hg4 Hg 0.5000 0.0000 0.0000 1
Hg5 Hg 0.5678 0.5704 0.7112 1
Hg6 Hg 0.6946 0.7169 0.1413 1
Hg7 Hg 0.8553 0.8585 0.5677 1
H1 H 0.0042 0.5492 0.6951 1
H2 H 0.1055 0.5345 0.6911 1
H3 H 0.1387 0.6988 0.1556 1
H4 H 0.2345 0.6780 0.1447 1
H5 H 0.3005 0.8603 0.5529 1
H6 H 0.3974 0.8401 0.5448 1
H7 H 0.6026 0.1599 0.4552 1
H8 H 0.6995 0.1397 0.4471 1
H9 H 0.7655 0.3220 0.8553 1
H10 H 0.8613 0.3012 0.8444 1
H11 H 0.8945 0.4655 0.3089 1
H12 H 0.9958 0.4508 0.3049 1

=====

Record 3
# Tl2Hg6H PBE relaxed
# Space group: P6/mmm
# Volume (Å³ per atom): 26.7
# Uncorrected energy (eV/atom): -0.870
# Magnetic moment (μB per formula unit): 0.00
data_Tl2Hg6H
_symmetry_space_group_name_H-M 'P 1'
_symmetry_Int_Tables_number 1
_symmetry_space_group_name_Hall 'P 1'
_cell_length_a 9.3137
_cell_length_b 9.3137
_cell_length_c 3.1938
_cell_angle_alpha 90.00
_cell_angle_beta 90.00
_cell_angle_gamma 120.00
loop_
_atom_site_label
_atom_site_type_symbol
_atom_site_fract_x
_atom_site_fract_y
_atom_site_fract_z
_atom_site_occupancy
Tl1 Tl 0.3333 0.6667 0.0000 1
Tl2 Tl 0.6667 0.3333 0.0000 1
Hg1 Hg 0.0000 0.3167 0.5000 1
Hg2 Hg 0.0000 0.6833 0.5000 1
Hg3 Hg 0.3167 0.0000 0.5000 1
Hg4 Hg 0.3167 0.3167 0.5000 1
Hg5 Hg 0.6833 0.0000 0.5000 1
Hg6 Hg 0.6833 0.6833 0.5000 1
H1 H 0.0000 0.0000 0.0000 1

=====

Question: Look up the magnetic moment of the third one.
Answer: 0.00 μB per formula unit

=====

Question: volume of number 2 (TlHg7H12)?
Answer: 21.5 Å³ per atom